A plane-wave DFT calculation with GGA+U was carried out for an optimized crystal structure of BaVTc2O8.

The structure in POSCAR format:
```
BaVTc2O8
1.0
5.542 0.000 0.000
-2.771 4.799 0.000
0.000 0.000 7.442
Ba V Tc O
1 1 2 8
Cartesian
0.000 0.000 0.000
0.000 0.000 3.721
0.000 3.200 5.448
2.771 1.600 1.994
-0.495 1.512 4.989
-1.214 4.472 4.989
1.062 1.185 2.453
0.000 3.200 7.237
2.771 1.600 0.206
1.709 3.614 4.989
3.985 0.327 2.453
3.266 3.287 2.453
```

Summary:
uncorrected energy = -7.5549 eV/atom